Record 1
DFT (PBE-GGA) results for a relaxed structure of PmC.

Total magnetic moment: 0.00 μB/f.u.
E: -7.162 eV/atom
Crystal system: monoclinic
Offset from the most stable computed form: 0.0 meV/atom

Structure (POSCAR):
```
PmC
1.0
7.687 0.000 0.000
0.000 3.646 0.000
-0.252 0.000 6.321
Pm C
4 4
Direct
0.139 0.000 0.277
0.361 0.500 0.723
0.639 0.500 0.277
0.861 0.000 0.723
0.079 0.500 0.551
0.421 0.000 0.449
0.579 0.000 0.551
0.921 0.500 0.449
```


Record 2
DFT (PBE-GGA) results for a relaxed structure of Pm2C3.

Total magnetic moment: 0.00 μB/f.u.
E: -7.631 eV/atom
Crystal system: cubic

Structure (POSCAR):
```
Pm2C3
1.0
-4.257 4.257 4.257
4.257 -4.257 4.257
4.257 4.257 -4.257
Pm C
8 12
Direct
0.000 0.397 0.500
0.000 0.897 0.500
0.103 0.103 0.103
0.397 0.500 0.000
0.500 0.000 0.397
0.500 0.000 0.897
0.603 0.603 0.603
0.897 0.500 0.000
0.047 0.750 0.797
0.203 0.750 0.953
0.250 0.547 0.297
0.250 0.703 0.453
0.297 0.250 0.547
0.453 0.250 0.703
0.547 0.297 0.250
0.703 0.453 0.250
0.750 0.797 0.047
0.750 0.953 0.203
0.797 0.047 0.750
0.953 0.203 0.750
```


Record 3
DFT (PBE-GGA) results for a relaxed structure of PmC.

Total magnetic moment: 0.00 μB/f.u.
E: -6.441 eV/atom
Crystal system: cubic
Offset from the most stable computed form: 720.9 meV/atom

Structure (POSCAR):
```
PmC
1.0
5.603 0.000 0.000
0.000 5.603 0.000
0.000 0.000 5.603
Pm C
4 4
Direct
0.000 0.000 0.000
0.000 0.500 0.500
0.500 0.000 0.500
0.500 0.500 0.000
0.250 0.250 0.250
0.250 0.750 0.750
0.750 0.250 0.750
0.750 0.750 0.250
```


Record 4
DFT (PBE-GGA) results for a relaxed structure of PmPr2C3.

Total magnetic moment: 0.02 μB/f.u.
E: -6.664 eV/atom
Crystal system: trigonal

Structure (POSCAR):
```
PmPr2C3
1.0
3.774 0.000 0.000
-1.887 3.269 0.000
0.000 0.000 9.242
Pm Pr C
1 2 3
Direct
0.000 0.000 0.000
0.333 0.667 0.332
0.667 0.333 0.668
0.000 0.000 0.500
0.333 0.667 0.838
0.667 0.333 0.162
```